1.
Here is a geometry-optimized BaTc3Bi structure from Alexandria. Energies are from PBE.

Fermi-level density of states: 4.55 states/eV/f.u.
excess energy over the best structure of this formula in the dataset: 987 meV/atom
total DFT energy (no corrections): -23.60 eV per cell
formation enthalpy at 0 K: 13.31 eV/f.u.

Structure (CIF):
```
data_BaTc3Bi
_chemical_formula_sum 'Ba1 Tc3 Bi1'
_symmetry_space_group_name_H-M 'P m -3 m'
_symmetry_Int_Tables_number 221
_symmetry_space_group_name_Hall '-P 4 2 3'
_cell_length_a 5.112
_cell_length_b 5.112
_cell_length_c 5.112
_cell_angle_alpha 90.00
_cell_angle_beta 90.00
_cell_angle_gamma 90.00
loop_
_atom_site_label
_atom_site_type_symbol
_atom_site_fract_x
_atom_site_fract_y
_atom_site_fract_z
Ba1 Ba 0.000 0.000 0.000
Tc1 Tc 0.000 0.000 0.500
Bi1 Bi 0.500 0.500 0.500
```

***

2.
Here is a geometry-optimized TbTiPd2 structure from Alexandria. Energies are from PBE.

Fermi-level density of states: 4.51 states/eV/f.u.
excess energy over the best structure of this formula in the dataset: 9 meV/atom
total DFT energy (no corrections): -76.23 eV per cell
formation enthalpy at 0 K: -2.50 eV/f.u.

Structure (CIF):
```
data_TbTiPd2
_chemical_formula_sum 'Tb3 Ti3 Pd6'
_symmetry_space_group_name_H-M 'R -3 m'
_symmetry_Int_Tables_number 166
_symmetry_space_group_name_Hall '-R 3 2"'
_cell_length_a 4.4566
_cell_length_b 4.4566
_cell_length_c 13.9907
_cell_angle_alpha 90.00
_cell_angle_beta 90.00
_cell_angle_gamma 120.00
loop_
_atom_site_label
_atom_site_type_symbol
_atom_site_fract_x
_atom_site_fract_y
_atom_site_fract_z
Tb1 Tb 0.0000 0.0000 0.0000
Ti1 Ti 0.0000 0.0000 0.5000
Pd1 Pd 0.0000 0.0000 0.2136
```

***

3.
Here is a geometry-optimized CaYAgBi structure from Alexandria. Energies are from PBE.

Fermi-level density of states: 3.18 states/eV/f.u.
total DFT energy (no corrections): -68.42 eV per cell
formation enthalpy at 0 K: -1.91 eV/f.u.

Structure (CIF):
```
data_CaYAgBi
_chemical_formula_sum 'Ca4 Y4 Ag4 Bi4'
_symmetry_space_group_name_H-M 'F -4 3 m'
_symmetry_Int_Tables_number 216
_symmetry_space_group_name_Hall 'F -4 2 3'
_cell_length_a 7.579
_cell_length_b 7.579
_cell_length_c 7.579
_cell_angle_alpha 90.00
_cell_angle_beta 90.00
_cell_angle_gamma 90.00
loop_
_atom_site_label
_atom_site_type_symbol
_atom_site_fract_x
_atom_site_fract_y
_atom_site_fract_z
Ca1 Ca 0.000 0.000 0.000
Y1 Y 0.000 0.000 0.500
Ag1 Ag 0.250 0.250 0.750
Bi1 Bi 0.250 0.250 0.250
```

***

4.
Here is a geometry-optimized Ga12Ge3Sb5 structure from Alexandria. Energies are from PBE.

Fermi-level density of states: 7.18 states/eV/f.u.
total DFT energy (no corrections): -547.48 eV per cell
raw formation energy: 0.1176 eV/atom

Structure (CIF):
```
data_Ga12Ge3Sb5
_chemical_formula_sum 'Ga96 Ge24 Sb40'
_symmetry_space_group_name_H-M 'I a -3 d'
_symmetry_Int_Tables_number 230
_symmetry_space_group_name_Hall '-I 4bd 2c 3'
_cell_length_a 16.029
_cell_length_b 16.029
_cell_length_c 16.029
_cell_angle_alpha 90.00
_cell_angle_beta 90.00
_cell_angle_gamma 90.00
loop_
_atom_site_label
_atom_site_type_symbol
_atom_site_fract_x
_atom_site_fract_y
_atom_site_fract_z
Ga1 Ga 0.012 0.084 0.656
Ge1 Ge 0.000 0.250 0.125
Sb1 Sb 0.000 0.000 0.000
Sb2 Sb 0.000 0.250 0.375
```

***

5.
Here is a geometry-optimized HfMnSiRh structure from Alexandria. Energies are from PBE.

total DFT energy (no corrections): -137.31 eV per cell
raw formation energy: -0.6077 eV/atom

Structure (CIF):
```
data_HfMnSiRh
_chemical_formula_sum 'Hf4 Mn4 Si4 Rh4'
_symmetry_space_group_name_H-M 'F -4 3 m'
_symmetry_Int_Tables_number 216
_symmetry_space_group_name_Hall 'F -4 2 3'
_cell_length_a 6.091
_cell_length_b 6.091
_cell_length_c 6.091
_cell_angle_alpha 90.00
_cell_angle_beta 90.00
_cell_angle_gamma 90.00
loop_
_atom_site_label
_atom_site_type_symbol
_atom_site_fract_x
_atom_site_fract_y
_atom_site_fract_z
Hf1 Hf 0.000 0.000 0.000
Mn1 Mn 0.250 0.250 0.250
Si1 Si 0.000 0.000 0.500
Rh1 Rh 0.250 0.250 0.750
```

***

6.
Here is a geometry-optimized LiTlPb3 structure from Alexandria. Energies are from PBE.

Fermi-level density of states: 2.85 states/eV/f.u.
excess energy over the best structure of this formula in the dataset: 553 meV/atom
total DFT energy (no corrections): -13.00 eV per cell
formation enthalpy at 0 K: 2.40 eV/f.u.

Structure (CIF):
```
data_LiTlPb3
_chemical_formula_sum 'Li1 Tl1 Pb3'
_symmetry_space_group_name_H-M 'P m -3 m'
_symmetry_Int_Tables_number 221
_symmetry_space_group_name_Hall '-P 4 2 3'
_cell_length_a 5.914
_cell_length_b 5.914
_cell_length_c 5.914
_cell_angle_alpha 90.00
_cell_angle_beta 90.00
_cell_angle_gamma 90.00
loop_
_atom_site_label
_atom_site_type_symbol
_atom_site_fract_x
_atom_site_fract_y
_atom_site_fract_z
Li1 Li 0.000 0.000 0.000
Tl1 Tl 0.500 0.500 0.500
Pb1 Pb 0.000 0.500 0.500
```

***

Q: Look up the total DFT energy (no corrections) of the third one.
A: -68.42 eV per cell